one:
Compound: Re3Se4Br
Source: OQMD
Functional: PBE
Structure: relaxed

Results
calculated volume	23.8	Å³/atom

Cell lengths 6.6630, 6.7218, 9.2006 Å; angles 77.57, 71.32, 86.10 degrees
Atoms (fractional coordinates):
Br1 0.3499 0.7874 0.0134
Br2 0.6501 0.2126 0.9866
Re1 0.1512 0.6236 0.2920
Re2 0.7711 0.4614 0.4341
Re3 0.1058 0.2460 0.4644
Re4 0.8942 0.7540 0.5356
Re5 0.2289 0.5386 0.5659
Re6 0.8488 0.3764 0.7080
Se1 0.0307 0.3347 0.2039
Se2 0.8219 0.8220 0.2749
Se3 0.4704 0.4030 0.3168
Se4 0.2809 0.8963 0.3972
Se5 0.7191 0.1037 0.6028
Se6 0.5296 0.5970 0.6832
Se7 0.1781 0.1780 0.7251
Se8 0.9693 0.6653 0.7961

two:
Compound: Re3Se4Br
Source: OQMD
Functional: PBE
Structure: relaxed

Results
calculated volume	25.3	Å³/atom

Cell lengths 6.6367, 11.9753, 10.3761 Å; angles 90.00, 100.53, 90.00 degrees
Atoms (fractional coordinates):
Br1 0.2082 0.3521 0.1121
Br2 0.2918 0.8521 0.3879
Br3 0.7082 0.1479 0.6121
Br4 0.7918 0.6479 0.8879
Re1 0.0904 0.1417 0.0615
Re2 0.7589 0.0201 0.0627
Re3 0.1220 0.9344 0.1586
Re4 0.3780 0.4344 0.3414
Re5 0.7411 0.5201 0.4373
Re6 0.4096 0.6417 0.4385
Re7 0.5904 0.3583 0.5615
Re8 0.2589 0.4799 0.5627
Re9 0.6220 0.5656 0.6586
Re10 0.8780 0.0656 0.8414
Re11 0.2411 0.9799 0.9373
Re12 0.9096 0.8583 0.9385
Se1 0.2618 0.7836 0.0282
Se2 0.7980 0.8248 0.1570
Se3 0.4335 0.0596 0.1682
Se4 0.5294 0.5914 0.2260
Se5 0.9706 0.0914 0.2740
Se6 0.0665 0.5596 0.3318
Se7 0.7020 0.3248 0.3430
Se8 0.2382 0.2836 0.4718
Se9 0.7618 0.7164 0.5282
Se10 0.2980 0.6752 0.6570
Se11 0.9335 0.4404 0.6682
Se12 0.0294 0.9086 0.7260
Se13 0.4706 0.4086 0.7740
Se14 0.5665 0.9404 0.8318
Se15 0.2020 0.1752 0.8430
Se16 0.7382 0.2164 0.9718

Sorted by energy, starting with the most stable: two, one.

one:
Compound: TeWSeS2Br
Source: OQMD
Functional: PBE
Structure: relaxed

Results
calculated volume	29.0	Å³/atom

Cell lengths 6.4306, 8.0801, 8.3298 Å; angles 105.20, 105.49, 113.30 degrees
Atoms (fractional coordinates):
Br1 0.9115 0.6495 0.2476
Br2 0.0885 0.3505 0.7524
S1 0.1726 0.2903 0.0803
S2 0.5137 0.9045 0.1774
S3 0.4863 0.0955 0.8226
S4 0.8274 0.7097 0.9197
Se1 0.1745 0.1461 0.2918
Se2 0.8255 0.8539 0.7082
Te1 0.7225 0.2657 0.2621
Te2 0.2775 0.7343 0.7379
W1 0.7769 0.0003 0.0005
W2 0.2231 0.9997 0.9995

two:
Compound: TeWSeS2Br
Source: OQMD
Functional: PBE
Structure: relaxed

Results
calculated volume	29.2	Å³/atom

Cell lengths 6.4199, 8.1535, 8.3292 Å; angles 105.98, 105.10, 113.04 degrees
Atoms (fractional coordinates):
Br1 0.8991 0.6376 0.2340
Br2 0.1009 0.3624 0.7660
S1 0.1743 0.2908 0.0866
S2 0.1662 0.1480 0.2712
S3 0.8338 0.8520 0.7288
S4 0.8257 0.7092 0.9134
Se1 0.5111 0.8934 0.1901
Se2 0.4889 0.1066 0.8099
Te1 0.7210 0.2656 0.2633
Te2 0.2790 0.7344 0.7367
W1 0.7800 0.0002 0.0003
W2 0.2200 0.9998 0.9997

Sorted by energy, starting with the most stable: two, one.

one:
Compound: WSeS3Br
Source: OQMD
Functional: PBE
Structure: relaxed

Results
calculated volume	26.4	Å³/atom

Cell lengths 6.1786, 7.8581, 8.0363 Å; angles 118.21, 106.27, 96.13 degrees
Atoms (fractional coordinates):
Br1 0.7320 0.6341 0.4022
Br2 0.2680 0.3659 0.5978
S1 0.4744 0.7722 0.0156
S2 0.0303 0.8466 0.1387
S3 0.6059 0.0591 0.2700
S4 0.3941 0.9409 0.7300
S5 0.9697 0.1534 0.8613
S6 0.5256 0.2278 0.9844
Se1 0.1286 0.3159 0.2351
Se2 0.8714 0.6841 0.7649
W1 0.7744 0.0000 0.0003
W2 0.2256 0.0000 0.9997

two:
Compound: WSeS3Br
Source: OQMD
Functional: PBE
Structure: relaxed

Results
calculated volume	25.5	Å³/atom

Cell lengths 6.2037, 7.7821, 7.9079 Å; angles 113.24, 113.08, 96.29 degrees
Atoms (fractional coordinates):
Br1 0.6702 0.7643 0.4040
Br2 0.3298 0.2357 0.5960
S1 0.5392 0.2423 0.0111
S2 0.1001 0.9187 0.2222
S3 0.6671 0.2057 0.2768
S4 0.3329 0.7943 0.7232
S5 0.8999 0.0813 0.7778
S6 0.4608 0.7577 0.9889
Se1 0.1160 0.3144 0.1464
Se2 0.8840 0.6856 0.8536
W1 0.2269 0.0006 0.0004
W2 0.7731 0.9994 0.9996

Sorted by energy, starting with the most stable: one, two.

one:
Compound: WSeS3Br
Source: OQMD
Functional: PBE
Structure: relaxed

Results
calculated volume	25.9	Å³/atom

Cell lengths 6.1995, 7.8220, 8.0127 Å; angles 113.82, 112.75, 96.23 degrees
Atoms (fractional coordinates):
Br1 0.6754 0.7744 0.4114
Br2 0.3246 0.2256 0.5886
S1 0.5358 0.2381 0.0060
S2 0.1027 0.2918 0.1267
S3 0.0976 0.9167 0.2178
S4 0.9024 0.0833 0.7822
S5 0.8973 0.7082 0.8733
S6 0.4642 0.7619 0.9940
Se1 0.6804 0.2220 0.2992
Se2 0.3196 0.7780 0.7008
W1 0.2236 0.0004 0.0003
W2 0.7764 0.9996 0.9997

two:
Compound: WSeS3Br
Source: OQMD
Functional: PBE
Structure: relaxed

Results
calculated volume	26.1	Å³/atom

Cell lengths 6.2124, 7.9287, 7.9961 Å; angles 106.12, 106.18, 113.04 degrees
Atoms (fractional coordinates):
Br1 0.9042 0.6354 0.2395
Br2 0.0958 0.3646 0.7605
S1 0.1800 0.2999 0.0832
S2 0.5327 0.9209 0.2020
S3 0.1819 0.1570 0.2861
S4 0.8181 0.8430 0.7139
S5 0.4673 0.0791 0.7980
S6 0.8200 0.7001 0.9168
Se1 0.7173 0.2526 0.2547
Se2 0.2827 0.7474 0.7453
W1 0.7740 0.0002 0.0005
W2 0.2260 0.9998 0.9995

Sorted by energy, starting with the most stable: one, two.

one:
Compound: TeWSe3Br
Source: OQMD
Functional: PBE
Structure: relaxed

Results
calculated volume	29.6	Å³/atom

Cell lengths 6.4596, 8.0905, 8.3755 Å; angles 118.36, 104.73, 97.83 degrees
Atoms (fractional coordinates):
Br1 0.7372 0.6349 0.3944
Br2 0.2628 0.3651 0.6056
Se1 0.4591 0.7558 0.0039
Se2 0.0250 0.8496 0.1516
Se3 0.6052 0.0782 0.2807
Se4 0.3948 0.9218 0.7193
Se5 0.9750 0.1504 0.8484
Se6 0.5409 0.2442 0.9961
Te1 0.1367 0.3345 0.2413
Te2 0.8633 0.6655 0.7587
W1 0.7747 0.9999 0.0004
W2 0.2253 0.0001 0.9996

two:
Compound: TeWSe3Br
Source: OQMD
Functional: PBE
Structure: relaxed

Results
calculated volume	28.6	Å³/atom

Cell lengths 6.5195, 7.9605, 8.0879 Å; angles 110.03, 113.60, 97.76 degrees
Atoms (fractional coordinates):
Br1 0.6589 0.7501 0.3961
Br2 0.3411 0.2499 0.6039
Se1 0.5423 0.2485 0.0011
Se2 0.0964 0.9037 0.2254
Se3 0.6750 0.1869 0.2881
Se4 0.3250 0.8131 0.7119
Se5 0.9036 0.0963 0.7746
Se6 0.4576 0.7515 0.9989
Te1 0.1354 0.3294 0.1649
Te2 0.8646 0.6706 0.8351
W1 0.2255 0.0009 0.0007
W2 0.7745 0.9991 0.9994

Sorted by energy, starting with the most stable: one, two.

one:
Compound: Te2WSe2Br
Source: OQMD
Functional: PBE
Structure: relaxed

Results
calculated volume	30.7	Å³/atom

Cell lengths 6.6622, 8.1579, 8.3647 Å; angles 117.97, 104.09, 99.37 degrees
Atoms (fractional coordinates):
Br1 0.7492 0.6376 0.4161
Br2 0.2508 0.3624 0.5839
Se1 0.0159 0.8454 0.1486
Se2 0.1249 0.3079 0.2105
Se3 0.8751 0.6921 0.7895
Se4 0.9841 0.1546 0.8514
Te1 0.4472 0.7355 0.0014
Te2 0.6173 0.1126 0.3116
Te3 0.3827 0.8874 0.6884
Te4 0.5528 0.2645 0.9986
W1 0.7851 0.9996 0.0003
W2 0.2149 0.0004 0.9997

two:
Compound: Te2WSe2Br
Source: OQMD
Functional: PBE
Structure: relaxed

Results
calculated volume	30.6	Å³/atom

Cell lengths 6.6021, 8.1329, 8.4182 Å; angles 111.43, 112.98, 97.66 degrees
Atoms (fractional coordinates):
Br1 0.6566 0.7525 0.3895
Br2 0.3434 0.2475 0.6105
Se1 0.5416 0.2432 0.0020
Se2 0.6712 0.1917 0.2783
Se3 0.3288 0.8083 0.7217
Se4 0.4584 0.7568 0.9980
Te1 0.1368 0.3252 0.1690
Te2 0.1044 0.9056 0.2411
Te3 0.8956 0.0944 0.7589
Te4 0.8632 0.6748 0.8310
W1 0.2276 0.0008 0.0007
W2 0.7724 0.9992 0.9993

Sorted by energy, starting with the most stable: one, two.

one:
Compound: Tc2Br
Source: OQMD
Functional: PBE
Structure: relaxed

Results
calculated volume	17.5	Å³/atom

Cell lengths 5.2912, 5.2912, 5.2912 Å; angles 60.00, 60.00, 60.00 degrees
Atoms (fractional coordinates):
Br1 0.0000 0.0000 0.0000
Br2 0.2500 0.2500 0.2500
Tc1 0.6250 0.6250 0.1250
Tc2 0.6250 0.1250 0.6250
Tc3 0.1250 0.6250 0.6250
Tc4 0.6250 0.6250 0.6250

two:
Compound: Tc2Br
Source: OQMD
Functional: PBE
Structure: relaxed

Results
calculated volume	58.8	Å³/atom

Cell lengths 7.9296, 7.9296, 7.9296 Å; angles 60.00, 60.00, 60.00 degrees
Each line ends with the local moment (μB).
Atoms (fractional coordinates):
Br1 0.2500 0.2500 0.2500  0.01
Br2 0.5000 0.5000 0.5000  0.01
Tc1 0.8750 0.3750 0.3750  2.98
Tc2 0.3750 0.8750 0.3750  2.85
Tc3 0.3750 0.3750 0.3750  2.85
Tc4 0.3750 0.3750 0.8750  2.83

Sorted by energy, starting with the most stable: one, two.

one:
Compound: TcBr4
Source: OQMD
Functional: PBE
Structure: relaxed

Results
calculated volume	31.5	Å³/atom

Cell lengths 7.4248, 7.4248, 6.4438 Å; angles 90.51, 90.51, 62.43 degrees
Each line ends with the local moment (μB).
Atoms (fractional coordinates):
Br1 0.5005 0.2746 0.0743  0.04
Br2 0.0283 0.7315 0.1059  0.17
Br3 0.2685 0.9717 0.3941  0.17
Br4 0.7254 0.4995 0.4257  0.04
Br5 0.2746 0.5005 0.5743  0.04
Br6 0.7315 0.0283 0.6059  0.17
Br7 0.9717 0.2685 0.8941  0.17
Br8 0.4995 0.7254 0.9257  0.04
Tc1 0.3617 0.6383 0.2500  2.18
Tc2 0.6383 0.3617 0.7500  2.18

two:
Compound: TcBr4
Source: OQMD
Functional: PBE
Structure: relaxed

Results
calculated volume	28.7	Å³/atom

Cell lengths 7.1984, 7.1984, 8.7108 Å; angles 124.78, 124.78, 56.38 degrees
Each line ends with the local moment (μB).
Atoms (fractional coordinates):
Br1 0.6749 0.6749 0.1494  -0.01
Br2 0.2123 0.2123 0.1805  0.02
Br3 0.7904 0.2521 0.3003  0.06
Br4 0.2521 0.7904 0.3003  0.06
Br5 0.7479 0.2096 0.6997  0.06
Br6 0.2096 0.7479 0.6997  0.06
Br7 0.7877 0.7877 0.8195  0.02
Br8 0.3251 0.3251 0.8506  -0.01
Tc1 0.7948 0.2052 0.0000  0.75
Tc2 0.2052 0.7948 0.0000  0.75

Sorted by energy, starting with the most stable: one, two.

one:
Compound: WBr6
Source: OQMD
Functional: PBE
Structure: relaxed

Results
calculated volume	31.8	Å³/atom

Cell lengths 6.4617, 6.4617, 11.9613 Å; angles 90.32, 90.32, 116.99 degrees
Atoms (fractional coordinates):
Br1 0.6802 0.0296 0.1278
Br2 0.3597 0.3451 0.1290
Br3 0.9693 0.6364 0.1352
Br4 0.3636 0.0307 0.3648
Br5 0.6549 0.6403 0.3710
Br6 0.9704 0.3198 0.3722
Br7 0.0296 0.6802 0.6278
Br8 0.3451 0.3597 0.6290
Br9 0.6364 0.9693 0.6352
Br10 0.0307 0.3636 0.8648
Br11 0.6403 0.6549 0.8710
Br12 0.3198 0.9704 0.8722
W1 0.6663 0.3337 0.2500
W2 0.3337 0.6663 0.7500

two:
Compound: WBr6
Source: OQMD
Functional: PBE
Structure: relaxed

Results
calculated volume	42.5	Å³/atom

Cell lengths 7.2839, 7.2839, 7.2839 Å; angles 109.47, 109.47, 109.47 degrees
Atoms (fractional coordinates):
Br1 0.2938 0.2938 0.0000
Br2 0.7062 0.7062 0.0000
Br3 0.2938 0.0000 0.2938
Br4 0.0000 0.2938 0.2938
Br5 0.7062 0.0000 0.7062
Br6 0.0000 0.7062 0.7062
W1 0.0000 0.0000 0.0000

Sorted by energy, starting with the most stable: one, two.

one:
Compound: HfScCdC
Source: OQMD
Functional: PBE
Structure: relaxed

Results
calculated volume	18.1	Å³/atom

Cell lengths 3.2998, 3.2998, 15.3726 Å; angles 90.00, 90.00, 120.00 degrees
Each line ends with the local moment (μB).
Atoms (fractional coordinates):
C1 0.0000 0.0000 0.0000  0.00
C2 0.0000 0.0000 0.5000  -0.02
Cd1 0.6667 0.3333 0.2467  0.02
Cd2 0.3333 0.6667 0.7533  0.02
Hf1 0.3333 0.6667 0.0803  0.02
Hf2 0.6667 0.3333 0.9197  0.02
Sc1 0.3333 0.6667 0.4198  0.10
Sc2 0.6667 0.3333 0.5802  0.10

two:
Compound: HfScCdC
Source: OQMD
Functional: PBE
Structure: relaxed

Results
calculated volume	18.1	Å³/atom

Cell lengths 3.3044, 3.3044, 15.2948 Å; angles 90.00, 90.00, 120.00 degrees
Each line ends with the local moment (μB).
Atoms (fractional coordinates):
C1 0.0000 0.0000 0.2450  0.00
C2 0.0000 0.0000 0.7550  0.00
Cd1 0.3333 0.6667 0.0000  0.00
Cd2 0.6667 0.3333 0.5000  0.01
Hf1 0.6667 0.3333 0.1683  0.00
Hf2 0.6667 0.3333 0.8317  0.01
Sc1 0.3333 0.6667 0.3305  0.06
Sc2 0.3333 0.6667 0.6695  0.06

Sorted by energy, starting with the most stable: two, one.